{
  "formula": "ReSiTe2",
  "functional": "GGA-PBE",
  "state": "optimized geometry",
  "raw_formation_energy_mev_per_atom": 1083,
  "final_energy_ev_per_atom": -4.955,
  "m_tot_mub_per_fu": 0.00,
  "vol_a3_per_cell": 81.19,
  "cell": [[-0.873, -3.187, -0.818], [2.177, 0.620, -4.741], [3.964, -1.503, 1.624]],
  "species": ["Re", "Te", "Te", "Si"],
  "fractional_positions": [[0.500, 0.000, 0.500], [0.000, 0.000, 0.000], [0.500, 0.500, 0.000], [0.000, 0.500, 0.500]]
}